# 1
Entry from Alexandria: a relaxed structure of NaBiRh2 (PBE-GGA).

Cell and atoms, written as POSCAR:
```
NaBiRh2
1.0
7.507 0.000 0.000
0.000 7.507 0.000
3.753 3.753 2.964
Bi Na Rh
2 2 4
direct
0.000 0.000 0.000
0.750 0.250 0.500
0.500 0.500 0.000
0.250 0.750 0.500
0.654 0.125 0.250
0.096 0.625 0.250
0.375 0.346 0.750
0.875 0.904 0.750
```

Computed properties:
- SG: I-42d, No. 122



# 2
Entry from Alexandria: a relaxed structure of NaBi3Rh (PBE-GGA).

Cell and atoms, written as POSCAR:
```
NaBi3Rh
1.0
6.437 0.228 0.283
0.384 9.384 0.342
0.384 -1.667 9.241
Bi Na Rh
12 4 4
direct
0.364 0.324 0.918
0.873 0.432 0.793
0.136 0.082 0.676
0.627 0.207 0.568
0.096 0.785 0.901
0.864 0.918 0.324
0.596 0.901 0.785
0.404 0.099 0.215
0.127 0.568 0.207
0.373 0.793 0.432
0.636 0.676 0.082
0.904 0.215 0.099
0.911 0.685 0.556
0.089 0.315 0.444
0.411 0.556 0.685
0.589 0.444 0.315
0.250 0.050 0.950
0.750 0.160 0.840
0.750 0.950 0.050
0.250 0.840 0.160
```

Computed properties:
- SG: C2/c, No. 15
- Polymorph energy (0 for the lowest one): 0.018 eV per atom



no.,ΔE_f (eV per atom)
1,0.39
2,-0.15